#one
DFT (PBE-GGA) results for a relaxed structure of Tc2Sn2Au.

For the density of states at the Fermi level, the calculation gives 7.4 states/eV per cell.

Geometry as extended XYZ:
```
10
Lattice="7.205 0.000 0.000 0.000 7.205 0.000 0.000 0.000 3.587" Properties=species:S:1:pos:R:3 pbc="T T T"
Tc 0.973 2.630 0.000
Tc 2.630 6.232 0.000
Tc 4.575 0.973 0.000
Tc 6.232 4.575 0.000
Sn 1.175 4.777 1.793
Sn 2.428 1.175 1.793
Sn 4.777 6.030 1.793
Sn 6.030 2.428 1.793
Au 0.000 0.000 0.000
Au 3.603 3.603 0.000
```

---

#two
DFT (PBE-GGA) results for a relaxed structure of Tc2Sn2Au.

For the density of states at the Fermi level, the calculation gives 16.1 states/eV per cell.

Geometry as extended XYZ:
```
10
Lattice="7.699 0.000 0.000 0.000 7.699 0.000 0.000 0.000 3.132" Properties=species:S:1:pos:R:3 pbc="T T T"
Tc 1.116 2.734 0.000
Tc 2.734 6.583 0.000
Tc 4.965 1.116 0.000
Tc 6.583 4.965 0.000
Sn 1.160 5.010 1.566
Sn 2.689 1.160 1.566
Sn 5.010 6.539 1.566
Sn 6.539 2.689 1.566
Au 0.000 0.000 1.566
Au 3.849 3.849 1.566
```

---

Which one sits at the bottom of the stability order? #two does.

---

#one
DFT (PBE-GGA) results for a relaxed structure of TcSn3Au.

For the density of states at the Fermi level, the calculation gives 0.0 states/eV per cell.

Geometry as extended XYZ:
```
5
Lattice="5.146 0.000 0.000 0.000 5.146 0.000 0.000 0.000 5.146" Properties=species:S:1:pos:R:3 pbc="T T T"
Tc 0.000 0.000 0.000
Sn 0.000 0.000 2.573
Sn 0.000 2.573 0.000
Sn 2.573 0.000 0.000
Au 2.573 2.573 2.573
```

---

#two
DFT (PBE-GGA) results for a relaxed structure of TcSn3Au.

For the density of states at the Fermi level, the calculation gives 5.8 states/eV per cell.

Geometry as extended XYZ:
```
5
Lattice="5.316 0.000 0.000 0.000 5.316 0.000 0.000 0.000 5.316" Properties=species:S:1:pos:R:3 pbc="T T T"
Tc 0.000 0.000 0.000
Sn 0.000 2.658 2.658
Sn 2.658 0.000 2.658
Sn 2.658 2.658 0.000
Au 2.658 2.658 2.658
```

---

Which one sits at the bottom of the stability order? #two does.

---

#one
DFT (PBE-GGA) results for a relaxed structure of SnTe2Au2.

For the density of states at the Fermi level, the calculation gives 1.8 states/eV per cell.

Geometry as extended XYZ:
```
10
Lattice="4.056 0.000 0.000 0.000 4.056 0.000 0.000 0.000 15.769" Properties=species:S:1:pos:R:3 pbc="T T T"
Sn 0.000 0.000 0.000
Sn 2.028 2.028 7.885
Te 0.000 0.000 6.117
Te 0.000 0.000 9.652
Te 2.028 2.028 1.767
Te 2.028 2.028 14.002
Au 0.000 2.028 3.942
Au 0.000 2.028 11.827
Au 2.028 0.000 3.942
Au 2.028 0.000 11.827
```

---

#two
DFT (PBE-GGA) results for a relaxed structure of SnTe2Au2.

For the density of states at the Fermi level, the calculation gives 3.5 states/eV per cell.

Geometry as extended XYZ:
```
10
Lattice="4.582 0.000 0.000 0.000 4.582 0.000 0.000 0.000 12.805" Properties=species:S:1:pos:R:3 pbc="T T T"
Sn 0.000 0.000 0.000
Sn 2.291 2.291 6.403
Te 0.000 2.291 3.201
Te 0.000 2.291 9.604
Te 2.291 0.000 3.201
Te 2.291 0.000 9.604
Au 0.000 0.000 5.088
Au 0.000 0.000 7.718
Au 2.291 2.291 1.315
Au 2.291 2.291 11.491
```

---

#three
DFT (PBE-GGA) results for a relaxed structure of SnTe2Au2.

For the density of states at the Fermi level, the calculation gives 1.4 states/eV per cell.

Geometry as extended XYZ:
```
15
Lattice="4.633 0.000 0.000 -2.316 4.012 0.000 0.000 0.000 23.256" Properties=species:S:1:pos:R:3 pbc="T T T"
Sn 0.000 0.000 0.000
Sn 0.000 2.675 15.504
Sn 2.316 1.337 7.752
Te 0.000 0.000 5.459
Te 0.000 0.000 17.798
Te 0.000 2.675 10.045
Te 0.000 2.675 20.963
Te 2.316 1.337 2.293
Te 2.316 1.337 13.211
Au 0.000 0.000 9.405
Au 0.000 0.000 13.851
Au 0.000 2.675 1.653
Au 0.000 2.675 6.099
Au 2.316 1.337 17.157
Au 2.316 1.337 21.603
```

---

Which one sits at the bottom of the stability order? #two does.

---

#one
DFT (PBE-GGA) results for a relaxed structure of SnTe2Au2.

For the density of states at the Fermi level, the calculation gives 5.0 states/eV per cell.

Geometry as extended XYZ:
```
10
Lattice="7.948 0.000 0.000 0.000 7.948 0.000 0.000 0.000 3.925" Properties=species:S:1:pos:R:3 pbc="T T T"
Sn 0.000 0.000 0.000
Sn 3.974 3.974 0.000
Te 1.469 2.505 1.962
Te 2.505 6.479 1.962
Te 5.443 1.469 1.962
Te 6.479 5.443 1.962
Au 0.985 4.959 0.000
Au 2.989 0.985 0.000
Au 4.959 6.963 0.000
Au 6.963 2.989 0.000
```

---

#two
DFT (PBE-GGA) results for a relaxed structure of SnTe2Au2.

For the density of states at the Fermi level, the calculation gives 5.6 states/eV per cell.

Geometry as extended XYZ:
```
10
Lattice="8.659 0.000 0.000 0.000 8.659 0.000 0.000 0.000 3.419" Properties=species:S:1:pos:R:3 pbc="T T T"
Sn 0.000 0.000 0.000
Sn 4.329 4.329 0.000
Te 1.711 2.618 0.000
Te 2.618 6.947 0.000
Te 6.041 1.711 0.000
Te 6.947 6.041 0.000
Au 0.981 5.310 1.709
Au 3.349 0.981 1.709
Au 5.310 7.678 1.709
Au 7.678 3.349 1.709
```

---

Which one sits at the bottom of the stability order? #two does.

---

#one
DFT (PBE-GGA) results for a relaxed structure of Sn2TeAu2.

For the density of states at the Fermi level, the calculation gives 4.4 states/eV per cell.

Geometry as extended XYZ:
```
10
Lattice="7.788 0.000 0.000 0.000 7.788 0.000 0.000 0.000 4.026" Properties=species:S:1:pos:R:3 pbc="T T T"
Sn 1.279 2.615 0.000
Sn 2.615 6.509 0.000
Sn 5.173 1.279 0.000
Sn 6.509 5.173 0.000
Te 0.000 0.000 2.013
Te 3.894 3.894 2.013
Au 1.030 4.924 2.013
Au 2.864 1.030 2.013
Au 4.924 6.758 2.013
Au 6.758 2.864 2.013
```

---

#two
DFT (PBE-GGA) results for a relaxed structure of Sn2TeAu2.

For the density of states at the Fermi level, the calculation gives 4.2 states/eV per cell.

Geometry as extended XYZ:
```
10
Lattice="3.969 0.000 0.000 0.000 3.969 0.000 0.000 0.000 16.152" Properties=species:S:1:pos:R:3 pbc="T T T"
Sn 0.000 0.000 1.784
Sn 0.000 0.000 14.368
Sn 1.984 1.984 6.292
Sn 1.984 1.984 9.859
Te 0.000 0.000 8.076
Te 1.984 1.984 0.000
Au 0.000 1.984 4.038
Au 0.000 1.984 12.114
Au 1.984 0.000 4.038
Au 1.984 0.000 12.114
```

---

Which one sits at the bottom of the stability order? #two does.

---

#one
DFT (PBE-GGA) results for a relaxed structure of Sn2TeAu2.

For the density of states at the Fermi level, the calculation gives 4.2 states/eV per cell.

Geometry as extended XYZ:
```
10
Lattice="4.644 0.000 0.000 0.000 4.644 0.000 0.000 0.000 11.962" Properties=species:S:1:pos:R:3 pbc="T T T"
Sn 0.000 2.322 2.990
Sn 0.000 2.322 8.971
Sn 2.322 0.000 2.990
Sn 2.322 0.000 8.971
Te 0.000 0.000 0.000
Te 2.322 2.322 5.981
Au 0.000 0.000 4.631
Au 0.000 0.000 7.331
Au 2.322 2.322 1.350
Au 2.322 2.322 10.611
```

---

#two
DFT (PBE-GGA) results for a relaxed structure of Sn2TeAu2.

For the density of states at the Fermi level, the calculation gives 5.0 states/eV per cell.

Geometry as extended XYZ:
```
10
Lattice="8.774 0.000 0.000 0.000 8.774 0.000 0.000 0.000 3.223" Properties=species:S:1:pos:R:3 pbc="T T T"
Sn 1.688 2.699 0.000
Sn 2.699 7.086 0.000
Sn 6.075 1.688 0.000
Sn 7.086 6.075 0.000
Te 0.000 0.000 0.000
Te 4.387 4.387 0.000
Au 0.980 5.367 1.611
Au 3.407 0.980 1.611
Au 5.367 7.794 1.611
Au 7.794 3.407 1.611
```

---

Which one sits at the bottom of the stability order? #one does.

---

#one
DFT (PBE-GGA) results for a relaxed structure of TiSn2Au2.

For the density of states at the Fermi level, the calculation gives 6.6 states/eV per cell.

Geometry as extended XYZ:
```
10
Lattice="7.290 0.000 0.000 0.000 7.290 0.000 0.000 0.000 4.030" Properties=species:S:1:pos:R:3 pbc="T T T"
Ti 0.000 0.000 0.000
Ti 3.645 3.645 0.000
Sn 1.280 2.365 2.015
Sn 2.365 6.010 2.015
Sn 4.925 1.280 2.015
Sn 6.010 4.925 2.015
Au 0.984 4.629 0.000
Au 2.661 0.984 0.000
Au 4.629 6.306 0.000
Au 6.306 2.661 0.000
```

---

#two
DFT (PBE-GGA) results for a relaxed structure of TiSn2Au2.

For the density of states at the Fermi level, the calculation gives 6.0 states/eV per cell.

Geometry as extended XYZ:
```
10
Lattice="7.775 0.000 0.000 0.000 7.775 0.000 0.000 0.000 3.519" Properties=species:S:1:pos:R:3 pbc="T T T"
Ti 0.000 0.000 0.000
Ti 3.888 3.888 0.000
Sn 1.220 2.667 0.000
Sn 2.667 6.555 0.000
Sn 5.108 1.220 0.000
Sn 6.555 5.108 0.000
Au 1.129 5.017 1.760
Au 2.759 1.129 1.760
Au 5.017 6.647 1.760
Au 6.647 2.759 1.760
```

---

Which one sits at the bottom of the stability order? #two does.

---

#one
DFT (PBE-GGA) results for a relaxed structure of TlSnAu3.

For the density of states at the Fermi level, the calculation gives 6.5 states/eV per cell.

Geometry as extended XYZ:
```
20
Lattice="8.498 0.000 0.000 0.000 3.851 0.000 0.000 0.000 14.501" Properties=species:S:1:pos:R:3 pbc="T T T"
Tl 1.635 0.963 0.008
Tl 2.614 2.888 7.258
Tl 5.884 0.963 7.243
Tl 6.862 2.888 14.493
Sn 0.936 0.963 4.500
Sn 3.312 2.888 11.751
Sn 5.185 0.963 2.750
Sn 7.561 2.888 10.001
Au 0.248 0.963 8.316
Au 0.638 2.888 12.396
Au 1.560 2.888 2.480
Au 2.689 0.963 9.731
Au 3.611 0.963 5.145
Au 4.001 2.888 1.065
Au 4.497 0.963 13.436
Au 4.887 2.888 9.356
Au 5.809 2.888 4.770
Au 6.938 0.963 12.021
Au 7.860 0.963 2.105
Au 8.250 2.888 6.185
```

---

#two
DFT (PBE-GGA) results for a relaxed structure of TlSnAu3.

For the density of states at the Fermi level, the calculation gives 0.9 states/eV per cell.

Geometry as extended XYZ:
```
5
Lattice="5.274 0.000 0.000 0.000 5.274 0.000 0.000 0.000 5.274" Properties=species:S:1:pos:R:3 pbc="T T T"
Tl 0.000 0.000 0.000
Sn 2.637 2.637 2.637
Au 0.000 2.637 2.637
Au 2.637 0.000 2.637
Au 2.637 2.637 0.000
```

---

Which one sits at the bottom of the stability order? #two does.